Entry 1:
Here is AcPmNi10 after structural relaxation from Alexandria. Energies are from PBE-GGA.

- formation enthalpy at 0 K (eV per formula unit) = -2.974

abc: 3.9738 5.0158 8.7028
angles: 90.00 90.00 90.00
Closest atoms and distances in Å follow each position.
Space group Pmmm (No. 47)
Inequivalent atoms, fractional coordinates:
Ac 0.0000 0.0000 0.0000 (multiplicity 1)  18 Ni 2.93-3.25
Pm 0.0000 0.5000 0.5000 (multiplicity 1)  14 Ni 2.84-3.16
Ni 0.0000 0.0000 0.3394 (multiplicity 2)  6 Ni 2.43-2.47
Ni 0.0000 0.5000 0.1737 (multiplicity 2)  6 Ni 2.45-2.50
Ni 0.5000 0.0000 0.5000 (multiplicity 1)  8 Ni 2.43-2.47
Ni 0.5000 0.2527 0.2564 (multiplicity 4)  8 Ni 2.45-2.55
Ni 0.5000 0.5000 0.0000 (multiplicity 1)  8 Ni 2.50-2.55

Entry 2:
Here is CaSc4Pt5 after structural relaxation from Alexandria. Energies are from PBE-GGA.

- formation enthalpy at 0 K (eV per formula unit) = -11.910

abc: 3.2984 3.2984 17.1212
angles: 90.00 90.00 90.00
Closest atoms and distances in Å follow each position.
Space group P4/mmm (No. 123)
Inequivalent atoms, fractional coordinates:
Ca 0.0000 0.0000 0.0000 (multiplicity 1)  8 Pt 3.12, 4 Ca 3.30
Sc 0.0000 0.0000 0.2064 (multiplicity 2)  8 Pt 2.75-2.93
Sc 0.0000 0.0000 0.4028 (multiplicity 2)  8 Pt 2.83-2.87
Pt 0.5000 0.5000 0.1211 (multiplicity 2)  4 Sc 2.75
Pt 0.5000 0.5000 0.3096 (multiplicity 2)  8 Sc 2.83-2.93
Pt 0.5000 0.5000 0.5000 (multiplicity 1)  8 Sc 2.87

Entry 3:
Here is NaP2PdO after structural relaxation from Alexandria. Energies are from PBE-GGA.

- energy relative to the lowest polymorph listed for this composition (meV per atom) = 851.6
- formation energy from raw total energies (eV/atom) = 1.1863

abc: 4.8060 4.8060 3.8532
angles: 90.00 90.00 90.00
Closest atoms and distances in Å follow each position.
Space group P4/mmm (No. 123)
Inequivalent atoms, fractional coordinates:
Na 0.0000 0.0000 0.0000 (multiplicity 1)  2 O 1.93
P 0.0000 0.5000 0.0000 (multiplicity 2)  2 Na 2.40
Pd 0.5000 0.5000 0.5000 (multiplicity 1)  8 P 3.08, 4 O 3.40
O 0.0000 0.0000 0.5000 (multiplicity 1)  2 Na 1.93

Entry 4:
Here is VOs2W2 after structural relaxation from Alexandria. Energies are from PBE-GGA.

- formation enthalpy at 0 K (eV per formula unit) = 1.432

abc: 7.4389 7.4389 2.9005
angles: 90.00 90.00 90.00
Closest atoms and distances in Å follow each position.
Space group P4/mbm (No. 127)
Inequivalent atoms, fractional coordinates:
V 0.0000 0.0000 0.0000 (multiplicity 2)  4 Os 2.90, 2 V 2.90, 8 W 3.13
Os 0.1344 0.3656 0.0000 (multiplicity 4)  6 W 2.56-2.66, 1 Os 2.83
W 0.1646 0.6646 0.5000 (multiplicity 4)  6 Os 2.56-2.66

Entry 5:
Here is Sm3Dy4Pd4 after structural relaxation from Alexandria. Energies are from PBE-GGA.

- formation enthalpy at 0 K (eV per formula unit) = -6.220

abc: 4.7459 7.6212 15.5469
angles: 90.00 90.00 90.00
Closest atoms and distances in Å follow each position.
Space group Immm (No. 71)
Inequivalent atoms, fractional coordinates:
Sm 0.0000 0.0000 0.0000 (multiplicity 2)  6 Pd 3.18-3.38
Sm 0.0000 0.5000 0.1025 (multiplicity 4)  4 Pd 3.19, 1 Sm 3.19, 4 Dy 3.39
Dy 0.0000 0.2838 0.3282 (multiplicity 8)  4 Pd 2.78-2.93
Pd 0.0000 0.0000 0.2046 (multiplicity 4)  6 Dy 2.89-2.93, 1 Sm 3.18
Pd 0.0000 0.1844 0.5000 (multiplicity 4)  2 Dy 2.78, 1 Pd 2.81

Entry 6:
Here is Th6Au3C2Se after structural relaxation from Alexandria. Energies are from PBE-GGA.

- formation energy from raw total energies (eV/atom) = -0.6090

abc: 18.7292 3.9519 8.5334
angles: 90.00 110.00 90.00
Closest atoms and distances in Å follow each position.
Space group C2/m (No. 12)
Inequivalent atoms, fractional coordinates:
Th 0.0312 0.0000 0.2680 (multiplicity 4)  1 C 2.51
Th 0.1730 0.5000 0.1113 (multiplicity 4)  2 C 2.60
Th 0.1835 0.5000 0.5494 (multiplicity 4)  3 C 2.59-2.80
Au 0.0000 0.5000 0.5000 (multiplicity 2)  6 Th 2.99-3.32
Au 0.1468 0.0000 0.8041 (multiplicity 4)  6 Th 3.18-3.20
C 0.1703 0.0000 0.3079 (multiplicity 4)  6 Th 2.51-2.80
Se 0.0000 0.5000 0.0000 (multiplicity 2)  6 Th 2.93-3.05

Per-record E, eV per atom: -5.8039; -6.9441; -3.2717; -11.2104; -5.4143; -6.9659